Here is an optimized crystal structure of YCoMo from Alexandria via LeMat-Bulk. Energies are from PBE.

Unit cell a=6.1738 b=6.1738 c=6.1738 alpha=90.00 beta=90.00 gamma=90.00
Closest atoms and distances in Å follow each position.
Space group F-43m (No. 216)
One atom of each set of equivalent atoms:
1 Y 0.0000 0.0000 0.0000  4 Co 2.67
2 Co 0.2500 0.2500 0.2500  4 Mo 2.67, 4 Y 2.67
3 Mo 0.0000 0.0000 0.5000  4 Co 2.67

E_form   0.5150 eV per atom
Polymorph energy (0 for the lowest one)   1.17 eV per formula unit